[1]
# La2CuI PBE optimized geometry
# total magnetic moment: 0.00 Bohr magnetons per cell
# calculated volume: 32.07 Å³ per atom
# uncorrected formation energy: -551 meV per atom
# total energy: -17.7 eV per formula unit
# energy above the most stable polymorph in this dataset: 0.008 eV per atom
data_La2CuI
_chemical_formula_sum 'La6 Cu3 I3'
_cell_length_a 4.2750
_cell_length_b 4.2750
_cell_length_c 24.3131
_cell_angle_alpha 90.00
_cell_angle_beta 90.00
_cell_angle_gamma 120.00
_space_group_name_H-M_alt 'R 3 m'
_space_group_IT_number 160
_space_group_name_Hall 'R 3 -2"'
loop_
_atom_site_label
_atom_site_fract_x
_atom_site_fract_y
_atom_site_fract_z
La1 0.0000 0.0000 0.0000
La2 0.0000 0.0000 0.1977
Cu1 0.0000 0.0000 0.5991
I1 0.0000 0.0000 0.4316


[2]
# La2CuI PBE optimized geometry
# total magnetic moment: 0.00 Bohr magnetons per cell
# calculated volume: 31.35 Å³ per atom
# uncorrected formation energy: -321 meV per atom
# total energy: -16.8 eV per formula unit
# energy above the most stable polymorph in this dataset: 0.238 eV per atom
data_La2CuI
_chemical_formula_sum 'La8 Cu4 I4'
_cell_length_a 8.167
_cell_length_b 8.167
_cell_length_c 7.522
_cell_angle_alpha 90.00
_cell_angle_beta 90.00
_cell_angle_gamma 90.00
_space_group_name_H-M_alt 'I -4 2 d'
_space_group_IT_number 122
_space_group_name_Hall 'I -4 2bw'
loop_
_atom_site_label
_atom_site_fract_x
_atom_site_fract_y
_atom_site_fract_z
La1 0.211 0.250 0.125
Cu1 0.000 0.000 0.000
I1 0.000 0.000 0.500


[3]
# LiLaCuI2 PBE optimized geometry
# total magnetic moment: 0.00 Bohr magnetons per cell
# calculated volume: 32.56 Å³ per atom
# uncorrected formation energy: -68 meV per atom
# total energy: -14.4 eV per formula unit
data_LiLaCuI2
_chemical_formula_sum 'Li1 La1 Cu1 I2'
_cell_length_a 5.526
_cell_length_b 5.526
_cell_length_c 5.331
_cell_angle_alpha 90.00
_cell_angle_beta 90.00
_cell_angle_gamma 90.00
_space_group_name_H-M_alt 'P 4/m m m'
_space_group_IT_number 123
_space_group_name_Hall '-P 4 2'
loop_
_atom_site_label
_atom_site_fract_x
_atom_site_fract_y
_atom_site_fract_z
Li1 0.000 0.000 0.000
La1 0.500 0.500 0.000
Cu1 0.500 0.500 0.500
I1 0.000 0.500 0.500


[4]
# LaMnCu2I PBE optimized geometry
# total magnetic moment: 4.64 Bohr magnetons per cell
# calculated volume: 29.24 Å³ per atom
# uncorrected formation energy: 899 meV per atom
# total energy: -19.3 eV per formula unit
data_LaMnCu2I
_chemical_formula_sum 'La1 Mn1 Cu2 I1'
_cell_length_a 4.952
_cell_length_b 4.952
_cell_length_c 5.963
_cell_angle_alpha 90.00
_cell_angle_beta 90.00
_cell_angle_gamma 90.00
_space_group_name_H-M_alt 'P 4/m m m'
_space_group_IT_number 123
_space_group_name_Hall '-P 4 2'
loop_
_atom_site_label
_atom_site_fract_x
_atom_site_fract_y
_atom_site_fract_z
La1 0.000 0.000 0.000
Mn1 0.500 0.500 0.000
Cu1 0.000 0.500 0.500
I1 0.000 0.000 0.500


[5]
# LaCuI2N PBE optimized geometry
# total magnetic moment: 0.20 Bohr magnetons per cell
# calculated volume: 34.40 Å³ per atom
# uncorrected formation energy: 69 meV per atom
# total energy: -20.1 eV per formula unit
data_LaCuI2N
_chemical_formula_sum 'La1 Cu1 I2 N1'
_cell_length_a 6.449
_cell_length_b 6.449
_cell_length_c 4.135
_cell_angle_alpha 90.00
_cell_angle_beta 90.00
_cell_angle_gamma 90.00
_space_group_name_H-M_alt 'P 4/m m m'
_space_group_IT_number 123
_space_group_name_Hall '-P 4 2'
loop_
_atom_site_label
_atom_site_fract_x
_atom_site_fract_y
_atom_site_fract_z
La1 0.000 0.000 0.000
Cu1 0.500 0.500 0.500
I1 0.000 0.500 0.000
N1 0.000 0.000 0.500


[6]
# La4CuNiI2 PBE optimized geometry
# total magnetic moment: 0.00 Bohr magnetons per cell
# calculated volume: 32.02 Å³ per atom
# uncorrected formation energy: -641 meV per atom
# total energy: -37.8 eV per formula unit
data_La4CuNiI2
_chemical_formula_sum 'La4 Cu1 Ni1 I2'
_cell_length_a 7.115
_cell_length_b 4.478
_cell_length_c 8.376
_cell_angle_alpha 90.00
_cell_angle_beta 106.30
_cell_angle_gamma 90.00
_space_group_name_H-M_alt 'P 1 2/m 1'
_space_group_IT_number 10
loop_
_space_group_symop_operation_xyz
'x,y,z'
'-x,-y,-z'
'-x,y,-z'
'x,-y,z'
loop_
_atom_site_label
_atom_site_fract_x
_atom_site_fract_y
_atom_site_fract_z
La1 0.239 0.000 0.191
La2 0.241 0.500 0.810
Cu1 0.500 0.000 0.000
Ni1 0.000 0.500 0.000
I1 0.000 0.000 0.500
I2 0.500 0.500 0.500


[7]
# La6CuNi2I3 PBE optimized geometry
# total magnetic moment: 0.00 Bohr magnetons per cell
# calculated volume: 31.93 Å³ per atom
# uncorrected formation energy: -675 meV per atom
# total energy: -58.0 eV per formula unit
data_La6CuNi2I3
_chemical_formula_sum 'La12 Cu2 Ni4 I6'
_cell_length_a 7.067
_cell_length_b 13.433
_cell_length_c 8.405
_cell_angle_alpha 90.00
_cell_angle_beta 106.17
_cell_angle_gamma 90.00
_space_group_name_H-M_alt 'C 1 2/m 1'
_space_group_IT_number 12
loop_
_space_group_symop_operation_xyz
'x,y,z'
'-x,-y,-z'
'-x,y,-z'
'x,-y,z'
'x+1/2,y+1/2,z'
'-x+1/2,-y+1/2,-z'
'-x+1/2,y+1/2,-z'
'x+1/2,-y+1/2,z'
loop_
_atom_site_label
_atom_site_fract_x
_atom_site_fract_y
_atom_site_fract_z
La1 0.232 0.000 0.189
La2 0.246 0.171 0.814
Cu1 0.000 0.500 0.000
Ni1 0.000 0.167 0.000
I1 0.000 0.000 0.500
I2 0.000 0.335 0.500


[8]
# LaCuIO2 PBE optimized geometry
# total magnetic moment: 0.58 Bohr magnetons per cell
# calculated volume: 26.33 Å³ per atom
# uncorrected formation energy: -1082 meV per atom
# total energy: -25.9 eV per formula unit
# energy above the most stable polymorph in this dataset: 0.000 eV per atom
data_LaCuIO2
_chemical_formula_sum 'La1 Cu1 I1 O2'
_cell_length_a 4.293
_cell_length_b 4.293
_cell_length_c 7.141
_cell_angle_alpha 90.00
_cell_angle_beta 90.00
_cell_angle_gamma 90.00
_space_group_name_H-M_alt 'P 4/m m m'
_space_group_IT_number 123
_space_group_name_Hall '-P 4 2'
loop_
_atom_site_label
_atom_site_fract_x
_atom_site_fract_y
_atom_site_fract_z
La1 0.000 0.000 0.000
Cu1 0.500 0.500 0.500
I1 0.000 0.000 0.500
O1 0.000 0.500 0.000